A.
Below is Dy2Y2CI2BrCl2 after structural relaxation, with properties calculated at the PBE level.

Output
Space group   No. 12
Total magnetization   0.021 μB/atom

Cell lengths 9.3338, 9.3338, 8.0945 Å; angles 99.95, 99.95, 23.79 degrees
Last column: nearest neighbours and their distance in Å.
Element x y z (fractional)
Br: 0.5000 0.5000 0.5000  4 Dy 3.09
C: 0.5000 0.5000 0.0000  2 Y 2.41, 4 Dy 2.52
Cl: 0.1486 0.1486 0.3109  2 Y 2.73, 1 Dy 2.74
Cl: 0.8514 0.8514 0.6891  2 Y 2.73, 1 Dy 2.74
Dy: 0.9979 0.9979 0.2007  2 C 2.52, 1 Cl 2.74
Dy: 0.0021 0.0021 0.7993  2 C 2.52, 1 Cl 2.74
I: 0.8251 0.8251 0.1995  2 Y 3.08, 1 Dy 3.16
I: 0.1749 0.1749 0.8005  2 Y 3.08, 1 Dy 3.16
Y: 0.6340 0.6340 0.0675  1 C 2.41
Y: 0.3660 0.3660 0.9325  1 C 2.41

=====

B.
Below is Dy2Y2CI2BrCl2 after structural relaxation, with properties calculated at the PBE level.

Output
Space group   No. 12
Total magnetization   0.031 μB/atom

Cell lengths 9.3202, 9.3202, 8.1605 Å; angles 100.97, 100.97, 23.85 degrees
Last column: nearest neighbours and their distance in Å.
Element x y z (fractional)
Br: 0.5000 0.5000 0.5000  4 Dy 3.11
C: 0.5000 0.5000 0.0000  2 Y 2.39, 4 Dy 2.53
Cl: 0.8397 0.8397 0.1644  2 Y 2.75, 1 Dy 2.85
Cl: 0.1603 0.1603 0.8356  2 Y 2.75, 1 Dy 2.85
Dy: 0.9981 0.9981 0.1999  2 C 2.53
Dy: 0.0019 0.0019 0.8001  2 C 2.53
I: 0.1682 0.1682 0.3479  2 Y 3.02, 1 Dy 3.10
I: 0.8318 0.8318 0.6521  2 Y 3.02, 1 Dy 3.10
Y: 0.6333 0.6333 0.0574  1 C 2.39
Y: 0.3667 0.3667 0.9426  1 C 2.39

=====

It is A that is most stable; the runner-up trails by 2.2 kJ/mol of atoms.

=====

A.
Below is La2Dy2CBr4Cl after structural relaxation, with properties calculated at the PBE level.

Output
Space group   No. 12
Total magnetization   0.021 μB/atom

Cell lengths 9.3479, 9.3479, 8.1101 Å; angles 104.61, 104.61, 23.75 degrees
Last column: nearest neighbours and their distance in Å.
Element x y z (fractional)
Br: 0.8365 0.8365 0.1897  1 Dy 2.95, 2 La 3.04
Br: 0.1583 0.1583 0.3758  1 Dy 2.88, 2 La 2.99
Br: 0.8417 0.8417 0.6242  1 Dy 2.88, 2 La 2.99
Br: 0.1635 0.1635 0.8103  1 Dy 2.95, 2 La 3.04
C: 0.5000 0.5000 0.0000  4 Dy 2.54, 2 La 2.58
Cl: 0.5000 0.5000 0.5000  4 Dy 3.07
Dy: 0.9995 0.9995 0.2052  2 C 2.54
Dy: 0.0005 0.0005 0.7948  2 C 2.54
La: 0.6462 0.6462 0.0878  1 C 2.58
La: 0.3538 0.3538 0.9122  1 C 2.58

=====

B.
Below is La2Dy2CBr4Cl after structural relaxation, with properties calculated at the PBE level.

Output
Space group   No. 12
Total magnetization   0.013 μB/atom

Cell lengths 9.3384, 9.3384, 8.3518 Å; angles 102.29, 102.29, 24.28 degrees
Last column: nearest neighbours and their distance in Å.
Element x y z (fractional)
Br: 0.8247 0.8247 0.1519  2 Dy 2.91, 1 La 3.09
Br: 0.1687 0.1687 0.3283  2 Dy 2.87, 1 La 3.05
Br: 0.8313 0.8313 0.6717  2 Dy 2.87, 1 La 3.05
Br: 0.1753 0.1753 0.8481  2 Dy 2.91, 1 La 3.09
C: 0.5000 0.5000 0.0000  2 Dy 2.41, 4 La 2.67
Cl: 0.5000 0.5000 0.5000  4 La 3.08
Dy: 0.6352 0.6352 0.0716  1 C 2.41
Dy: 0.3648 0.3648 0.9284  1 C 2.41
La: 0.9981 0.9981 0.2152  2 C 2.67
La: 0.0019 0.0019 0.7848  2 C 2.67

=====

It is B that is most stable; the runner-up trails by 1.1 kJ/mol of atoms.

=====

A.
Below is La2Dy2CBr2Cl3 after structural relaxation, with properties calculated at the PBE level.

Output
Space group   No. 12
Total magnetization   0.028 μB/atom

Cell lengths 9.2916, 9.2916, 7.9795 Å; angles 105.40, 105.40, 23.65 degrees
Last column: nearest neighbours and their distance in Å.
Element x y z (fractional)
Br: 0.8365 0.8365 0.1910  1 Dy 2.94, 2 La 3.05
Br: 0.1635 0.1635 0.8090  1 Dy 2.94, 2 La 3.05
C: 0.5000 0.5000 0.0000  4 Dy 2.53, 2 La 2.59
Cl: 0.1535 0.1535 0.3668  1 Dy 2.73, 2 La 2.87
Cl: 0.5000 0.5000 0.5000  4 Dy 3.01
Cl: 0.8465 0.8465 0.6332  1 Dy 2.73, 2 La 2.87
Dy: 0.0002 0.0002 0.2085  2 C 2.53, 1 Cl 2.73
Dy: 0.9998 0.9998 0.7915  2 C 2.53, 1 Cl 2.73
La: 0.6477 0.6477 0.0953  1 C 2.59, 2 Cl 2.87
La: 0.3523 0.3523 0.9047  1 C 2.59, 2 Cl 2.87

=====

B.
Below is La2Dy2CBr2Cl3 after structural relaxation, with properties calculated at the PBE level.

Output
Space group   No. 12
Total magnetization   0.028 μB/atom

Cell lengths 9.0779, 9.0779, 8.0070 Å; angles 104.16, 104.16, 24.32 degrees
Last column: nearest neighbours and their distance in Å.
Element x y z (fractional)
Br: 0.1601 0.1601 0.3786  1 Dy 2.86, 2 La 2.98
Br: 0.8399 0.8399 0.6214  1 Dy 2.86, 2 La 2.98
C: 0.5000 0.5000 0.0000  4 Dy 2.53, 2 La 2.58
Cl: 0.8372 0.8372 0.1797  1 Dy 2.81, 2 La 2.92
Cl: 0.5000 0.5000 0.5000  4 Dy 3.02
Cl: 0.1628 0.1628 0.8203  1 Dy 2.81, 2 La 2.92
Dy: 0.9979 0.9979 0.2064  2 C 2.53, 1 Cl 2.81
Dy: 0.0021 0.0021 0.7936  2 C 2.53, 1 Cl 2.81
La: 0.6500 0.6500 0.0876  1 C 2.58
La: 0.3500 0.3500 0.9124  1 C 2.58

=====

It is A that is most stable; the runner-up trails by 0.8 kJ/mol of atoms.

=====

A.
Below is Nd2Dy2CBr4Cl after structural relaxation, with properties calculated at the PBE level.

Output
Space group   No. 12
Total magnetization   0.003 μB/atom

Cell lengths 9.2807, 9.2807, 8.1732 Å; angles 102.40, 102.40, 24.10 degrees
Last column: nearest neighbours and their distance in Å.
Element x y z (fractional)
Br: 0.8269 0.8269 0.1602  2 Dy 2.90, 1 Nd 3.05
Br: 0.1667 0.1667 0.3353  2 Dy 2.86, 1 Nd 3.00
Br: 0.8333 0.8333 0.6647  2 Dy 2.86, 1 Nd 3.00
Br: 0.1731 0.1731 0.8398  2 Dy 2.90, 1 Nd 3.05
C: 0.5000 0.5000 0.0000  2 Dy 2.41, 4 Nd 2.61
Cl: 0.5000 0.5000 0.5000  4 Nd 3.04
Dy: 0.6358 0.6358 0.0721  1 C 2.41
Dy: 0.3642 0.3642 0.9279  1 C 2.41
Nd: 0.9984 0.9984 0.2132  2 C 2.61
Nd: 0.0016 0.0016 0.7868  2 C 2.61

=====

B.
Below is Nd2Dy2CBr4Cl after structural relaxation, with properties calculated at the PBE level.

Output
Space group   No. 12
Total magnetization   0.006 μB/atom

Cell lengths 9.2567, 9.2567, 8.0374 Å; angles 104.03, 104.03, 23.74 degrees
Last column: nearest neighbours and their distance in Å.
Element x y z (fractional)
Br: 0.8345 0.8345 0.1873  1 Dy 2.96, 2 Nd 2.98
Br: 0.1605 0.1605 0.3682  1 Dy 2.88, 2 Nd 2.94
Br: 0.8395 0.8395 0.6318  1 Dy 2.88, 2 Nd 2.94
Br: 0.1655 0.1655 0.8127  1 Dy 2.96, 2 Nd 2.98
C: 0.5000 0.5000 0.0000  2 Nd 2.52, 4 Dy 2.53
Cl: 0.5000 0.5000 0.5000  4 Dy 3.02
Dy: 0.9997 0.9997 0.2076  2 C 2.53
Dy: 0.0003 0.0003 0.7924  2 C 2.53
Nd: 0.6435 0.6435 0.0821  1 C 2.52
Nd: 0.3565 0.3565 0.9179  1 C 2.52

=====

It is A that is most stable; the runner-up trails by 0.9 kJ/mol of atoms.

=====

A.
Below is Pr2Dy2CBr2Cl3 after structural relaxation, with properties calculated at the PBE level.

Output
Space group   No. 12
Total magnetization   0.008 μB/atom

Cell lengths 9.1894, 9.1894, 7.9259 Å; angles 103.42, 103.42, 23.78 degrees
Last column: nearest neighbours and their distance in Å.
Element x y z (fractional)
Br: 0.8339 0.8339 0.1966  1 Dy 2.96, 3 Pr 3.01-3.29
Br: 0.1661 0.1661 0.8034  1 Dy 2.96, 3 Pr 3.01-3.29
C: 0.5000 0.5000 0.0000  4 Dy 2.52, 2 Pr 2.54
Cl: 0.1528 0.1528 0.3546  1 Dy 2.72, 2 Pr 2.84
Cl: 0.5000 0.5000 0.5000  4 Dy 2.98
Cl: 0.8472 0.8472 0.6454  1 Dy 2.72, 2 Pr 2.84
Dy: 0.9996 0.9996 0.2093  2 C 2.52, 1 Cl 2.72
Dy: 0.0004 0.0004 0.7907  2 C 2.52, 1 Cl 2.72
Pr: 0.6454 0.6454 0.0843  1 C 2.54, 2 Cl 2.84
Pr: 0.3546 0.3546 0.9157  1 C 2.54, 2 Cl 2.84

=====

B.
Below is Pr2Dy2CBr2Cl3 after structural relaxation, with properties calculated at the PBE level.

Output
Space group   No. 12
Total magnetization   0.007 μB/atom

Cell lengths 9.0155, 9.0155, 7.9550 Å; angles 103.48, 103.48, 24.31 degrees
Last column: nearest neighbours and their distance in Å.
Element x y z (fractional)
Br: 0.1620 0.1620 0.3720  1 Dy 2.87, 2 Pr 2.96
Br: 0.8380 0.8380 0.6280  1 Dy 2.87, 2 Pr 2.96
C: 0.5000 0.5000 0.0000  4 Dy 2.52, 2 Pr 2.54
Cl: 0.8360 0.8360 0.1808  1 Dy 2.81, 2 Pr 2.88
Cl: 0.5000 0.5000 0.5000  4 Dy 2.99
Cl: 0.1640 0.1640 0.8192  1 Dy 2.81, 2 Pr 2.88
Dy: 0.9982 0.9982 0.2082  2 C 2.52, 1 Cl 2.81
Dy: 0.0018 0.0018 0.7918  2 C 2.52, 1 Cl 2.81
Pr: 0.6481 0.6481 0.0815  1 C 2.54
Pr: 0.3519 0.3519 0.9185  1 C 2.54

=====

It is A that is most stable; the runner-up trails by 0.8 kJ/mol of atoms.